Cu | the Alexandria database | PBE | relaxed; space-group type = P6_3/mmc, No. 194; ΔE to the lowest computed polymorph = 22 meV/atom; formation energy = 22 meV/atom; total magnetic moment = 0.0 μB per cell; V = 11.98 Å³ per atom
1.0
2.577 0.000 0.000
-1.288 2.232 0.000
0.000 0.000 4.165
Cu
2
Cartesian
1.288 0.744 1.041
0.000 1.488 3.123

***

Sr2ScZnS5 | the Alexandria database | PBE | relaxed; space-group type = Cmc2_1, No. 36; formation energy (no corrections) = -1562 meV/atom; total magnetic moment = 0.0 μB per cell; V = 22.91 Å³ per atom
1.0
-0.452 -2.367 3.080
0.287 -5.737 -6.849
12.007 -0.783 1.160
Zn S Sr Sc
2 10 4 2
Cartesian
11.081 -2.737 2.005
5.351 -6.449 -4.171
1.732 -4.178 -0.474
0.123 -4.871 -3.725
9.353 -7.508 -4.398
3.062 -1.415 1.844
4.515 -4.554 -2.837
0.552 -0.802 -0.535
7.972 -4.569 -2.342
5.876 -3.635 0.551
6.377 -7.764 -2.549
10.278 -4.525 0.513
3.828 -2.018 -0.989
9.636 -6.974 -1.464
2.069 -6.640 -2.317
8.266 -2.148 -0.439
0.248 -2.893 -2.187
6.037 -5.631 -0.959

***

YMg5Cu | the Alexandria database | PBE | relaxed; space-group type = P4/mmm, No. 123; ΔE to the lowest computed polymorph = 130 meV/atom; formation energy = 148 meV/atom; total magnetic moment = 0.0 μB per cell; V = 24.26 Å³ per atom
1.0
4.292 0.000 0.000
0.000 4.292 0.000
0.000 0.000 9.218
Cu Y Mg
1 1 5
Cartesian
0.000 0.000 0.000
2.146 2.146 4.609
2.146 0.000 2.050
0.000 2.146 2.050
2.146 0.000 7.168
0.000 2.146 7.168
2.146 2.146 0.000